# TePbF2 (PBE, relaxed)
data_TePbF2
_chemical_formula_sum 'Te3 Pb3 F6'
_cell_length_a 3.3980
_cell_length_b 3.3980
_cell_length_c 25.7695
_cell_angle_alpha 90.00
_cell_angle_beta 90.00
_cell_angle_gamma 120.00
_space_group_name_H-M_alt 'R -3 m'
_space_group_IT_number 166
_space_group_name_Hall '-R 3 2"'
loop_
_atom_site_label
_atom_site_type_symbol
_atom_site_fract_x
_atom_site_fract_y
_atom_site_fract_z
Te1 Te 0.0000 0.0000 0.0000
Pb1 Pb 0.0000 0.0000 0.5000
F1 F 0.0000 0.0000 0.0835
# energy	-46.73	eV for the cell shown
# energy above the lowest structure with this stoichiometry	0	meV/atom
# spin magnetization	0.00	μB/f.u.

# TePb3F (PBE, relaxed)
data_TePb3F
_chemical_formula_sum 'Te1 Pb3 F1'
_cell_length_a 6.066
_cell_length_b 6.066
_cell_length_c 6.066
_cell_angle_alpha 90.00
_cell_angle_beta 90.00
_cell_angle_gamma 90.00
_space_group_name_H-M_alt 'P m -3 m'
_space_group_IT_number 221
_space_group_name_Hall '-P 4 2 3'
loop_
_atom_site_label
_atom_site_type_symbol
_atom_site_fract_x
_atom_site_fract_y
_atom_site_fract_z
Te1 Te 0.000 0.000 0.000
Pb1 Pb 0.000 0.000 0.500
F1 F 0.500 0.500 0.500
# energy	-15.35	eV for the cell shown
# energy above the lowest structure with this stoichiometry	608	meV/atom
# spin magnetization	0.00	μB/f.u.

# Te2PbF (PBE, relaxed)
data_Te2PbF
_chemical_formula_sum 'Te6 Pb3 F3'
_cell_length_a 3.7755
_cell_length_b 3.7755
_cell_length_c 27.7860
_cell_angle_alpha 90.00
_cell_angle_beta 90.00
_cell_angle_gamma 120.00
_space_group_name_H-M_alt 'R -3 m'
_space_group_IT_number 166
_space_group_name_Hall '-R 3 2"'
loop_
_atom_site_label
_atom_site_type_symbol
_atom_site_fract_x
_atom_site_fract_y
_atom_site_fract_z
Te1 Te 0.0000 0.0000 0.0823
Pb1 Pb 0.0000 0.0000 0.5000
F1 F 0.0000 0.0000 0.0000
# energy	-40.27	eV for the cell shown
# energy above the lowest structure with this stoichiometry	280	meV/atom
# spin magnetization	0.00	μB/f.u.